1.
This record from Alexandria describes crystalline PaTa2H at its relaxed geometry. The functional is GGA-PBE.

Cell lengths 8.536, 8.536, 8.536 Å; angles 20.18, 20.18, 20.18 degrees
Element x y z (fractional)
Pa 0.000 0.000 0.000
Ta 0.116 0.116 0.116
Ta 0.884 0.884 0.884
H 0.500 0.500 0.500

Output
The crystal system is trigonal. The density of states at the Fermi level is 4.41 states/eV/f.u. As for the space-group type: No. 166. The calculated total energy comes out at -8.781 eV/atom.

---

2.
This record from Alexandria describes crystalline KCa3Al at its relaxed geometry. The functional is GGA-PBE.

Cell lengths 6.119, 6.119, 6.119 Å; angles 90.00, 90.00, 90.00 degrees
Element x y z (fractional)
K 0.000 0.000 0.000
Ca 0.000 0.000 0.500
Ca 0.000 0.500 0.000
Ca 0.500 0.000 0.000
Al 0.500 0.500 0.500

Output
The value obtained for the formation energy is 1082 meV/atom. The crystal system is cubic. The density of states at the Fermi level is 8.53 states/eV/f.u. The excess energy over the best structure of this formula in the dataset is 997 meV per atom. As for the space-group type: No. 221. The calculated total energy comes out at -1.087 eV/atom.

---

3.
This record from Alexandria describes crystalline KBeIr2 at its relaxed geometry. The functional is GGA-PBE.

Cell lengths 2.728, 3.594, 7.476 Å; angles 90.00, 90.00, 90.00 degrees
Element x y z (fractional)
K 0.000 0.000 0.000
Be 0.500 0.500 0.360
Ir 0.000 0.000 0.456
Ir 0.500 0.500 0.661

Output
The value obtained for the formation energy is 320 meV/atom. The crystal system is orthorhombic. The density of states at the Fermi level is 2.91 states/eV/f.u. As for the space-group type: No. 25. The calculated total energy comes out at -5.316 eV/atom.